# 1
5
Lattice="-2.082 2.082 4.821 2.082 -2.082 4.821 2.082 2.082 -4.821" Properties=species:S:1:pos:R:3 comment="PBE Ni2HgGe2, relaxed" total_energy_ev_per_atom=-4.175 space_group=I4/mmm pbc="T T T"
Ni 2.082 0.000 2.410
Ni 0.000 2.082 2.410
Hg 0.000 0.000 0.000
Ge 0.000 0.000 3.572
Ge 0.000 0.000 6.070

=====

# 2
4
Lattice="1.622 -2.671 0.000 1.622 2.671 0.000 0.000 0.000 8.793" Properties=species:S:1:pos:R:3 comment="PBE TlTc2Sb, relaxed" total_energy_ev_per_atom=-6.118 space_group=Cmmm e_form_raw_ev_per_fu=2.749 pbc="T T T"
Tl 0.000 0.000 0.000
Tc 1.622 0.000 2.341
Tc 1.622 0.000 6.452
Sb 0.000 0.000 4.396

=====

Copy entry 1 word for word.
5
Lattice="-2.082 2.082 4.821 2.082 -2.082 4.821 2.082 2.082 -4.821" Properties=species:S:1:pos:R:3 comment="PBE Ni2HgGe2, relaxed" total_energy_ev_per_atom=-4.175 space_group=I4/mmm pbc="T T T"
Ni 2.082 0.000 2.410
Ni 0.000 2.082 2.410
Hg 0.000 0.000 0.000
Ge 0.000 0.000 3.572
Ge 0.000 0.000 6.070